[1]
{"formula": "ThSiRuRh", "functional": "PBE", "state": "relaxed", "space_group": "Amm2, No. 38", "final_energy_ev_per_atom": -7.873, "cell": [[4.337, 0.000, 0.000], [0.000, 2.013, 4.520], [0.000, -2.013, 4.520]], "species": ["Th", "Si", "Ru", "Rh"], "fractional_positions": [[0.000, 0.000, 0.000], [0.500, 0.397, 0.397], [0.500, 0.748, 0.748], [0.000, 0.278, 0.278]]}

[2]
{"formula": "InN2Cl4", "functional": "PBE", "state": "relaxed", "space_group": "P-1, No. 2", "final_energy_ev_per_atom": -4.287, "cell": [[3.652, 0.000, 0.000], [1.821, 7.429, 0.000], [1.546, 0.412, 8.078]], "species": ["In", "N", "N", "Cl", "Cl", "Cl", "Cl"], "fractional_positions": [[0.000, 0.000, 0.000], [0.044, 0.521, 0.434], [0.956, 0.479, 0.566], [0.170, 0.917, 0.703], [0.410, 0.236, 0.936], [0.590, 0.764, 0.064], [0.830, 0.083, 0.297]]}

[3]
{"formula": "Ta3CdRh", "functional": "PBE", "state": "relaxed", "space_group": "Pm-3m, No. 221", "e_above_lowest_polymorph_mev_per_atom": 0, "final_energy_ev_per_atom": -7.736, "ef_kj_per_mol_fu": 496, "cell": [[4.825, 0.000, 0.000], [0.000, 4.825, 0.000], [0.000, 0.000, 4.825]], "species": ["Ta", "Ta", "Ta", "Cd", "Rh"], "fractional_positions": [[0.000, 0.000, 0.500], [0.000, 0.500, 0.000], [0.500, 0.000, 0.000], [0.500, 0.500, 0.500], [0.000, 0.000, 0.000]]}

[4]
{"formula": "BaIn6Pb2", "functional": "PBE", "state": "relaxed", "space_group": "Immm, No. 71", "final_energy_ev_per_atom": -2.966, "ef_kj_per_mol_fu": -89, "cell": [[-2.281, 4.257, 7.514], [2.281, -4.257, 7.514], [2.281, 4.257, -7.514]], "species": ["Ba", "In", "In", "In", "In", "In", "In", "Pb", "Pb"], "fractional_positions": [[0.000, 0.000, 0.000], [0.004, 0.691, 0.313], [0.320, 0.500, 0.820], [0.377, 0.691, 0.687], [0.623, 0.309, 0.313], [0.680, 0.500, 0.180], [0.996, 0.309, 0.687], [0.382, 0.882, 0.500], [0.618, 0.118, 0.500]]}

[5]
{"formula": "NaAcPtAu", "functional": "PBE", "state": "relaxed", "space_group": "P4/nmm, No. 129", "e_above_lowest_polymorph_mev_per_atom": 0, "final_energy_ev_per_atom": -4.329, "ef_kj_per_mol_fu": -248, "cell": [[4.219, 0.000, 0.000], [0.000, 4.219, 0.000], [0.000, 0.000, 11.953]], "species": ["Na", "Na", "Ac", "Ac", "Pt", "Pt", "Au", "Au"], "fractional_positions": [[0.250, 0.750, 0.000], [0.750, 0.250, 0.000], [0.250, 0.250, 0.332], [0.750, 0.750, 0.668], [0.250, 0.250, 0.588], [0.750, 0.750, 0.412], [0.250, 0.250, 0.818], [0.750, 0.750, 0.182]]}

[6]
{"formula": "Pr2Si2BRu2", "functional": "PBE", "state": "relaxed", "space_group": "C2/m, No. 12", "final_energy_ev_per_atom": -7.267, "cell": [[5.616, -2.121, 0.000], [5.616, 2.121, 0.000], [-4.606, 0.000, 5.572]], "species": ["Pr", "Pr", "Si", "Si", "B", "Ru", "Ru"], "fractional_positions": [[0.064, 0.064, 0.323], [0.936, 0.936, 0.677], [0.331, 0.331, 0.892], [0.669, 0.669, 0.108], [0.500, 0.500, 0.500], [0.291, 0.291, 0.183], [0.709, 0.709, 0.817]]}

[7]
{"formula": "LaTeI2Br", "functional": "PBE", "state": "relaxed", "space_group": "P4/mmm, No. 123", "e_above_lowest_polymorph_mev_per_atom": 590, "final_energy_ev_per_atom": -2.615, "cell": [[6.100, 0.000, 0.000], [0.000, 6.100, 0.000], [0.000, 0.000, 5.402]], "species": ["La", "Te", "I", "I", "Br"], "fractional_positions": [[0.000, 0.000, 0.000], [0.500, 0.500, 0.000], [0.000, 0.500, 0.500], [0.500, 0.000, 0.500], [0.500, 0.500, 0.500]]}

[8]
{"formula": "Zn2CuHPt", "functional": "PBE", "state": "relaxed", "space_group": "P4/mmm, No. 123", "e_above_lowest_polymorph_mev_per_atom": 71, "final_energy_ev_per_atom": -3.270, "cell": [[4.132, 0.000, 0.000], [0.000, 4.132, 0.000], [0.000, 0.000, 3.558]], "species": ["Zn", "Zn", "Cu", "H", "Pt"], "fractional_positions": [[0.000, 0.500, 0.000], [0.500, 0.000, 0.000], [0.000, 0.000, 0.500], [0.500, 0.500, 0.000], [0.500, 0.500, 0.500]]}